This record from Alexandria describes a relaxed structure of HgAu2Cl. The functional is PBE-GGA.

Distance to the lowest polymorph of the same formula (kcal/mol of atoms): 4.350
Energy (eV/atom): -2.021
Space group: No. 123
Formation energy (no corrections) (eV per atom): 0.155
Density (g cm⁻³): 11.35
Calculated volume (A^3/atom): 23.04
Crystal system: tetragonal

a = 3.882 Å, b = 3.882 Å, c = 6.113 Å
α = 90.00°, β = 90.00°, γ = 90.00°
Fractional coordinates of all 4 atoms:
Au 0.000 0.000 0.000
Au 0.500 0.500 0.000
Hg 0.000 0.500 0.500
Cl 0.500 0.000 0.500